w.
Density functional theory data (GGA-PBE) for a geometry-optimized Tb2Pr2Nd structure.

Calculated values
V   346.1 Å³ per cell
Magnetization   0.00 μB per formula unit

Cell and atoms, written as POSCAR:
```
Tb2Pr2Nd
1.0
-5.273 3.450 -0.976
-4.511 1.076 7.345
-0.659 6.842 6.916
Pr Nd Tb
4 2 4
direct
0.383 0.751 0.650
0.217 0.251 0.150
0.617 0.249 0.350
0.783 0.749 0.850
0.417 0.250 0.750
0.583 0.750 0.250
0.179 0.754 0.050
0.017 0.254 0.550
0.983 0.746 0.450
0.821 0.246 0.950
```

***

x.
Density functional theory data (GGA-PBE) for a geometry-optimized Tb2Pr2Nd structure.

Calculated values
V   355.6 Å³ per cell
Magnetization   0.00 μB per formula unit

Cell and atoms, written as POSCAR:
```
Tb2Pr2Nd
1.0
-5.123 -6.405 4.414
7.898 -4.711 1.477
-0.534 6.295 1.266
Nd Pr Tb
2 4 4
direct
0.928 0.072 0.750
0.072 0.928 0.250
0.261 0.385 0.567
0.739 0.615 0.433
0.385 0.261 0.067
0.615 0.739 0.933
0.680 0.320 0.750
0.199 0.801 0.750
0.320 0.680 0.250
0.801 0.199 0.250
```

***

Quick one: least stable of them? x

***

w.
Density functional theory data (GGA-PBE) for a geometry-optimized Tb5PrNd5 structure.

Calculated values
V   380.5 Å³ per cell
Magnetization   0.37 μB per formula unit

Cell and atoms, written as POSCAR:
```
Tb5PrNd5
1.0
6.071 0.000 0.000
-3.035 9.531 0.404
0.000 -2.855 6.456
Nd Tb Pr
5 5 1
direct
0.500 0.000 0.000
0.824 0.648 0.579
0.176 0.352 0.421
0.824 0.648 0.068
0.176 0.352 0.932
0.670 0.341 0.172
0.376 0.752 0.374
0.000 0.000 0.500
0.624 0.248 0.626
0.330 0.659 0.828
0.000 0.000 0.000
```

***

x.
Density functional theory data (GGA-PBE) for a geometry-optimized Tb5PrNd5 structure.

Calculated values
V   383.2 Å³ per cell
Magnetization   0.00 μB per formula unit

Cell and atoms, written as POSCAR:
```
Tb5PrNd5
1.0
-5.793 0.274 4.003
6.461 0.463 5.566
4.038 7.031 5.390
Nd Tb Pr
5 5 1
direct
0.864 0.513 0.845
0.744 0.911 0.362
0.500 0.000 0.000
0.256 0.089 0.638
0.136 0.487 0.155
0.356 0.517 0.792
0.000 0.500 0.500
0.723 0.973 0.678
0.644 0.483 0.208
0.277 0.027 0.322
0.000 0.000 0.000
```

***

Quick one: least stable of them? w

***

w.
Density functional theory data (GGA-PBE) for a geometry-optimized Tb4Pr4Nd3 structure.

Calculated values
V   385.2 Å³ per cell
Magnetization   0.00 μB per formula unit

Cell and atoms, written as POSCAR:
```
Tb4Pr4Nd3
1.0
-4.699 -0.641 -3.353
2.560 -5.701 2.533
-6.394 1.022 8.765
Nd Pr Tb
3 4 4
direct
0.253 0.507 0.000
0.411 0.822 0.291
0.411 0.822 0.709
0.960 0.920 0.000
0.753 0.506 0.211
0.753 0.506 0.789
0.883 0.766 0.500
0.554 0.109 0.000
0.610 0.220 0.500
0.105 0.211 0.304
0.105 0.211 0.696
```

***

x.
Density functional theory data (GGA-PBE) for a geometry-optimized Tb4Pr4Nd3 structure.

Calculated values
V   389.7 Å³ per cell
Magnetization   0.00 μB per formula unit

Cell and atoms, written as POSCAR:
```
Tb4Pr4Nd3
1.0
-0.761 -3.506 -0.612
1.400 1.337 -9.397
10.473 -1.478 6.248
Pr Tb Nd
4 4 3
direct
0.354 0.176 0.708
0.646 0.824 0.292
0.354 0.531 0.708
0.646 0.469 0.292
0.740 0.240 0.480
0.500 0.183 0.000
0.500 0.817 0.000
0.260 0.760 0.520
0.892 0.892 0.784
0.108 0.108 0.216
0.000 0.500 0.000
```

***

Quick one: least stable of them? w

***

w.
Density functional theory data (GGA-PBE) for a geometry-optimized Tb6Pr3Nd2 structure.

Calculated values
V   389.0 Å³ per cell
Magnetization   0.00 μB per formula unit

Cell and atoms, written as POSCAR:
```
Tb6Pr3Nd2
1.0
4.823 0.000 0.000
0.000 4.823 0.000
-2.412 -2.412 16.723
Tb Pr Nd
6 3 2
direct
0.380 0.880 0.759
0.880 0.380 0.759
0.692 0.692 0.385
0.620 0.120 0.241
0.308 0.308 0.615
0.120 0.620 0.241
0.204 0.204 0.408
0.796 0.796 0.592
0.000 0.000 0.000
0.546 0.546 0.092
0.454 0.454 0.908
```

***

x.
Density functional theory data (GGA-PBE) for a geometry-optimized Tb6Pr3Nd2 structure.

Calculated values
V   391.1 Å³ per cell
Magnetization   0.00 μB per formula unit

Cell and atoms, written as POSCAR:
```
Tb6Pr3Nd2
1.0
5.972 0.000 1.788
2.986 5.415 0.894
-1.305 0.000 11.705
Tb Pr Nd
6 3 2
direct
0.084 0.333 0.748
0.583 0.333 0.252
0.417 0.667 0.748
0.750 0.000 0.749
0.250 0.000 0.251
0.916 0.667 0.252
0.336 0.329 0.000
0.664 0.671 0.000
0.000 0.000 0.000
0.834 0.333 0.500
0.166 0.667 0.500
```

***

Quick one: least stable of them? w

***

w.
Density functional theory data (GGA-PBE) for a geometry-optimized TbPr7Nd4 structure.

Calculated values
V   428.6 Å³ per cell
Magnetization   0.00 μB per formula unit

Cell and atoms, written as POSCAR:
```
TbPr7Nd4
1.0
-0.436 -4.759 5.672
4.815 -2.103 8.290
-3.411 6.704 5.346
Nd Pr Tb
4 7 1
direct
0.471 0.279 0.670
0.721 0.779 0.668
0.529 0.721 0.330
0.279 0.221 0.332
0.781 0.219 0.332
0.031 0.720 0.331
0.219 0.781 0.668
0.749 0.500 0.000
0.969 0.280 0.669
0.251 0.500 0.000
0.500 0.000 0.000
0.000 0.000 0.000
```

***

x.
Density functional theory data (GGA-PBE) for a geometry-optimized TbPr7Nd4 structure.

Calculated values
V   439.4 Å³ per cell
Magnetization   0.00 μB per formula unit

Cell and atoms, written as POSCAR:
```
TbPr7Nd4
1.0
-0.666 3.106 5.288
-10.778 -3.230 4.139
2.264 -3.103 5.706
Pr Nd Tb
7 4 1
direct
0.369 0.499 0.762
0.631 0.501 0.238
0.211 0.079 0.499
0.500 0.000 0.000
0.064 0.682 0.189
0.789 0.921 0.501
0.936 0.318 0.811
0.235 0.326 0.204
0.765 0.674 0.796
0.357 0.777 0.508
0.643 0.223 0.492
0.000 0.000 0.000
```

***

Quick one: least stable of them? x

***

w.
Density functional theory data (GGA-PBE) for a geometry-optimized Tb7Pr4Nd structure.

Calculated values
V   417.7 Å³ per cell
Magnetization   0.00 μB per formula unit

Cell and atoms, written as POSCAR:
```
Tb7Pr4Nd
1.0
-0.446 5.955 0.523
-6.816 1.672 9.497
4.729 3.035 3.825
Tb Pr Nd
7 4 1
direct
0.632 0.503 0.233
0.500 0.000 0.000
0.789 0.923 0.499
0.211 0.077 0.501
0.368 0.497 0.767
0.068 0.682 0.182
0.932 0.318 0.818
0.364 0.777 0.495
0.636 0.223 0.505
0.228 0.330 0.213
0.772 0.670 0.787
0.000 0.000 0.000
```

***

x.
Density functional theory data (GGA-PBE) for a geometry-optimized Tb7Pr4Nd structure.

Calculated values
V   407.3 Å³ per cell
Magnetization   0.00 μB per formula unit

Cell and atoms, written as POSCAR:
```
Tb7Pr4Nd
1.0
0.032 -6.881 -0.875
1.578 -6.760 5.574
-8.233 0.229 4.054
Pr Tb Nd
4 7 1
direct
0.774 0.836 0.690
0.446 0.360 0.716
0.554 0.640 0.284
0.226 0.164 0.310
0.292 0.812 0.617
0.018 0.681 0.358
0.982 0.319 0.642
0.263 0.487 0.050
0.500 0.000 0.000
0.737 0.513 0.950
0.708 0.188 0.383
0.000 0.000 0.000
```

***

Quick one: least stable of them? w

***

w.
Density functional theory data (GGA-PBE) for a geometry-optimized Tb8Pr2Nd3 structure.

Calculated values
V   433.2 Å³ per cell
Magnetization   0.00 μB per formula unit

Cell and atoms, written as POSCAR:
```
Tb8Pr2Nd3
1.0
-0.720 -4.310 4.489
1.065 -3.752 -4.888
11.333 -1.160 0.679
Nd Pr Tb
3 2 8
direct
0.462 0.769 0.922
0.538 0.231 0.078
0.000 0.000 0.000
0.769 0.616 0.538
0.231 0.384 0.462
0.076 0.462 0.155
0.385 0.308 0.769
0.693 0.153 0.384
0.307 0.847 0.616
0.154 0.924 0.308
0.846 0.076 0.692
0.615 0.692 0.231
0.924 0.538 0.845
```

***

x.
Density functional theory data (GGA-PBE) for a geometry-optimized Tb8Pr2Nd3 structure.

Calculated values
V   453.0 Å³ per cell
Magnetization   0.00 μB per formula unit

Cell and atoms, written as POSCAR:
```
Tb8Pr2Nd3
1.0
-4.174 3.609 1.263
-4.352 -3.073 -5.603
-1.686 -5.296 9.549
Nd Tb Pr
3 8 2
direct
0.500 0.000 0.000
0.000 0.293 0.000
0.000 0.707 0.000
0.500 0.397 0.214
0.000 0.869 0.737
0.500 0.603 0.786
0.500 0.817 0.214
0.500 0.183 0.786
0.000 0.335 0.670
0.000 0.665 0.330
0.000 0.131 0.263
0.499 0.242 0.483
0.501 0.758 0.517
```

***

Quick one: least stable of them? x

***

w.
Density functional theory data (GGA-PBE) for a geometry-optimized Tb2Pr3Nd3 structure.

Calculated values
V   561.5 Å³ per cell
Magnetization   0.00 μB per formula unit

Cell and atoms, written as POSCAR:
```
Tb2Pr3Nd3
1.0
6.235 -1.448 0.000
-4.898 7.228 0.000
0.000 0.000 14.786
Tb Pr Nd
4 6 6
direct
0.086 0.250 0.374
0.086 0.250 0.126
0.914 0.750 0.874
0.914 0.750 0.626
0.417 0.750 0.000
0.583 0.250 0.500
0.579 0.249 0.750
0.421 0.751 0.250
0.417 0.750 0.500
0.583 0.250 0.000
0.412 0.750 0.750
0.083 0.250 0.625
0.588 0.250 0.250
0.083 0.250 0.875
0.917 0.750 0.375
0.917 0.750 0.125
```

***

x.
Density functional theory data (GGA-PBE) for a geometry-optimized Tb2Pr3Nd3 structure.

Calculated values
V   278.0 Å³ per cell
Magnetization   0.00 μB per formula unit

Cell and atoms, written as POSCAR:
```
Tb2Pr3Nd3
1.0
5.186 0.000 0.000
0.000 5.187 -0.002
-2.593 -2.598 10.334
Pr Tb Nd
3 2 3
direct
0.873 0.873 0.746
0.000 0.500 0.000
0.127 0.127 0.254
0.750 0.250 0.500
0.250 0.750 0.500
0.500 0.000 0.000
0.627 0.627 0.255
0.373 0.373 0.745
```

***

Quick one: least stable of them? w

***

w.
Density functional theory data (GGA-PBE) for a geometry-optimized Tb4Pr5Nd2 structure.

Calculated values
V   381.4 Å³ per cell
Magnetization   0.00 μB per formula unit

Cell and atoms, written as POSCAR:
```
Tb4Pr5Nd2
1.0
-1.378 -3.238 0.683
-2.304 -1.447 -11.509
8.929 -2.003 -0.895
Nd Tb Pr
2 4 5
direct
0.716 0.353 0.433
0.284 0.647 0.567
0.640 0.798 0.280
0.033 0.260 0.066
0.360 0.202 0.720
0.967 0.740 0.934
0.904 0.464 0.809
0.096 0.536 0.191
0.824 0.929 0.648
0.500 0.000 0.000
0.176 0.071 0.352
```

***

x.
Density functional theory data (GGA-PBE) for a geometry-optimized Tb4Pr5Nd2 structure.

Calculated values
V   395.2 Å³ per cell
Magnetization   0.00 μB per formula unit

Cell and atoms, written as POSCAR:
```
Tb4Pr5Nd2
1.0
-0.495 -1.312 -3.284
8.674 2.482 -2.298
-0.098 -11.174 6.421
Pr Tb Nd
5 4 2
direct
0.500 0.000 0.000
0.855 0.054 0.711
0.145 0.946 0.289
0.855 0.656 0.711
0.145 0.344 0.289
0.404 0.404 0.808
0.000 0.688 0.000
0.000 0.312 0.000
0.596 0.596 0.192
0.731 0.731 0.462
0.269 0.269 0.538
```

***

Quick one: least stable of them? x

***

w.
Density functional theory data (GGA-PBE) for a geometry-optimized Tb7PrNd3 structure.

Calculated values
V   385.9 Å³ per cell
Magnetization   0.00 μB per formula unit

Cell and atoms, written as POSCAR:
```
Tb7PrNd3
1.0
8.760 0.000 0.000
0.000 7.133 0.000
0.000 -3.566 6.177
Tb Nd Pr
7 3 1
direct
0.119 0.167 0.833
0.119 0.167 0.334
0.446 0.335 0.168
0.123 0.667 0.333
0.446 0.832 0.168
0.446 0.832 0.665
0.119 0.666 0.833
0.784 0.500 0.001
0.784 0.500 0.500
0.784 0.999 0.500
0.444 0.333 0.667
```

***

x.
Density functional theory data (GGA-PBE) for a geometry-optimized Tb7PrNd3 structure.

Calculated values
V   373.4 Å³ per cell
Magnetization   0.00 μB per formula unit

Cell and atoms, written as POSCAR:
```
Tb7PrNd3
1.0
4.743 -0.088 -2.969
-1.102 9.838 -2.054
-1.047 -0.750 8.888
Tb Nd Pr
7 3 1
direct
0.320 0.639 0.820
0.500 0.000 0.500
0.145 0.288 0.645
0.855 0.712 0.355
0.680 0.361 0.180
0.917 0.830 0.917
0.083 0.170 0.083
0.000 0.500 0.000
0.282 0.000 0.782
0.718 0.000 0.218
0.500 0.500 0.500
```

***

Quick one: least stable of them? w